A geometry-optimized Pm4TlCo2 structure. Source: Alexandria, functional PBE.

Unit cell a=13.9870 b=13.9870 c=13.9870 alpha=16.55 beta=16.55 gamma=16.55
Closest atoms and distances in Å follow each position.
Element x y z (fractional)
Pm 0.1063 0.1063 0.1063  3 Co 2.76
Pm 0.2971 0.2971 0.2971  3 Co 2.72
Pm 0.7029 0.7029 0.7029  3 Co 2.72
Pm 0.8937 0.8937 0.8937  3 Co 2.76
Tl 0.5000 0.5000 0.5000  6 Pm 3.41
Co 0.4035 0.4035 0.4035  6 Pm 2.72-2.76
Co 0.5965 0.5965 0.5965  6 Pm 2.72-2.76

## Properties
Symmetry ... R-3m, No. 166
Volume ... 194 Å³ per cell
E_tot ... -0.1902 hartree per atom
D(E_F) ... 0.824 states/eV per atom



A geometry-optimized Pm12Tl6Co structure. Source: Alexandria, functional PBE.

Unit cell a=8.4867 b=8.4867 c=8.4867 alpha=94.27 beta=94.27 gamma=94.27
Closest atoms and distances in Å follow each position.
Element x y z (fractional)
Pm 0.0236 0.6899 0.9185  1 Co 2.70
Pm 0.0815 0.9764 0.3101  1 Co 2.70
Pm 0.2003 0.5420 0.4239  4 Tl 3.19-3.32
Pm 0.3101 0.0815 0.9764  1 Co 2.70
Pm 0.4239 0.2003 0.5420  4 Tl 3.19-3.32
Pm 0.4580 0.5761 0.7997  4 Tl 3.19-3.32
Pm 0.5420 0.4239 0.2003  4 Tl 3.19-3.32
Pm 0.5761 0.7997 0.4580  4 Tl 3.19-3.32
Pm 0.6899 0.9185 0.0236  1 Co 2.70
Pm 0.7997 0.4580 0.5761  4 Tl 3.19-3.32
Pm 0.9185 0.0236 0.6899  1 Co 2.70
Pm 0.9764 0.3101 0.0815  1 Co 2.70
Tl 0.1399 0.3478 0.7336  8 Pm 3.19-3.49
Tl 0.2664 0.8601 0.6522  8 Pm 3.19-3.49
Tl 0.3478 0.7336 0.1399  8 Pm 3.19-3.49
Tl 0.6522 0.2664 0.8601  8 Pm 3.19-3.49
Tl 0.7336 0.1399 0.3478  8 Pm 3.19-3.49
Tl 0.8601 0.6522 0.2664  8 Pm 3.19-3.49
Co 0.0000 0.0000 0.0000  6 Pm 2.70

## Properties
Symmetry ... R-3, No. 148
Volume ... 606 Å³ per cell
E_tot ... -0.1573 hartree per atom
D(E_F) ... 1.112 states/eV per atom